1.
Material: CdInPt2C
Method: DFT, PBE-GGA
State: optimized geometry

Unit cell a=4.9995 b=5.3540 c=4.9995 alpha=90.00 beta=90.00 gamma=90.00
With the nearest neighbours (Å) after each atom.
Atoms (fractional coordinates):
In: 0.0000 0.0000 0.0000  4 Pt 2.50, 2 Cd 2.68
C: 0.5000 0.5000 0.5000  4 Cd 3.54, 8 Pt 3.66
Cd: 0.0000 0.5000 0.0000  2 In 2.68
Pt: 0.0000 0.0000 0.5000  2 In 2.50
Pt: 0.5000 0.0000 0.0000  2 In 2.50

Calculated values
The value obtained for the density of states at the Fermi level is 3.67 states/eV per cell. The calculation puts the calculated total energy at -14.12 eV/f.u. Its space group is P4/mmm. Its formation energy is 10.84 eV/f.u.

=====

2.
Material: Cd2InCS
Method: DFT, PBE-GGA
State: optimized geometry

Unit cell a=5.7933 b=3.4539 c=5.7933 alpha=90.00 beta=90.00 gamma=90.00
With the nearest neighbours (Å) after each atom.
Atoms (fractional coordinates):
C: 0.0000 0.5000 0.0000  2 S 1.73
In: 0.5000 0.5000 0.5000  8 Cd 3.37, 2 In 3.45
Cd: 0.0000 0.0000 0.5000  2 S 2.90
S: 0.0000 0.0000 0.0000  2 C 1.73
Cd: 0.5000 0.0000 0.0000  2 S 2.90

Calculated values
The value obtained for the density of states at the Fermi level is 1.81 states/eV per cell. The calculation puts the calculated total energy at -13.45 eV/f.u. As for the uncorrected formation energy: 0.895 eV per atom. Its space group is P4/mmm.

=====

3.
Material: CdInSn2C
Method: DFT, PBE-GGA
State: optimized geometry

Unit cell a=5.9570 b=3.9874 c=5.9570 alpha=90.00 beta=90.00 gamma=90.00
With the nearest neighbours (Å) after each atom.
Atoms (fractional coordinates):
Sn: 0.0000 0.0000 0.5000  2 In 2.98
C: 0.0000 0.5000 0.0000  2 In 1.99
In: 0.0000 0.0000 0.0000  2 C 1.99
Sn: 0.5000 0.0000 0.0000  2 In 2.98
Cd: 0.5000 0.5000 0.5000  8 Sn 3.58, 2 Cd 3.99

Calculated values
The value obtained for the density of states at the Fermi level is 3.68 states/eV per cell. The calculation puts the calculated total energy at -14.67 eV/f.u. Its space group is P4/mmm. Its formation energy is 6.22 eV/f.u.

=====

4.
Material: CdIrC3
Method: DFT, PBE-GGA
State: optimized geometry

Unit cell a=4.1350 b=4.1350 c=4.1350 alpha=90.00 beta=90.00 gamma=90.00
With the nearest neighbours (Å) after each atom.
Atoms (fractional coordinates):
C: 0.0000 0.0000 0.5000  2 Cd 2.07
Cd: 0.0000 0.0000 0.0000  6 C 2.07
C: 0.0000 0.5000 0.0000  2 Cd 2.07
Ir: 0.5000 0.5000 0.5000  12 C 2.92
C: 0.5000 0.0000 0.0000  2 Cd 2.07

Calculated values
The value obtained for the density of states at the Fermi level is 3.40 states/eV per cell. The calculation puts the calculated total energy at -18.84 eV/f.u. As for the polymorph energy (0 for the lowest one): 8.20 eV/f.u. Its space group is Pm-3m. Its formation energy is 18.61 eV/f.u.

=====

5.
Material: CdIrC2
Method: DFT, PBE-GGA
State: optimized geometry

Unit cell a=5.0817 b=5.0817 c=5.8762 alpha=64.38 beta=64.38 gamma=90.00
With the nearest neighbours (Å) after each atom.
Atoms (fractional coordinates):
C: 0.8750 0.9474 0.7500  2 Ir 1.94
C: 0.3750 0.3026 0.7500  2 Ir 1.94
C: 0.6974 0.1250 0.2500  2 Ir 1.94
Ir: 0.0000 0.0000 0.0000  4 C 1.94
Cd: 0.5000 0.5000 0.0000  4 C 2.38
Cd: 0.2500 0.7500 0.5000  4 C 2.38
Ir: 0.7500 0.2500 0.5000  4 C 1.94
C: 0.0526 0.6250 0.2500  2 Ir 1.94

Calculated values
The value obtained for the density of states at the Fermi level is 1.91 states/eV per cell. The calculation puts the calculated total energy at -24.16 eV/f.u. Its space group is I-42d. Its formation energy is 4.06 eV/f.u.

=====

6.
Material: CdIr2C
Method: DFT, PBE-GGA
State: optimized geometry

Unit cell a=6.5139 b=6.5139 c=5.4319 alpha=53.16 beta=53.16 gamma=90.00
With the nearest neighbours (Å) after each atom.
Atoms (fractional coordinates):
Ir: 0.2442 0.6250 0.2500  2 C 1.97
Cd: 0.0000 0.0000 0.0000  8 Ir 2.84-2.99, 2 C 2.88
Ir: 0.5058 0.1250 0.2500  2 C 1.97
C: 0.2500 0.7500 0.5000  4 Ir 1.97
Ir: 0.3750 0.4942 0.7500  2 C 1.97
Ir: 0.8750 0.7558 0.7500  2 C 1.97
C: 0.5000 0.5000 0.0000  4 Ir 1.97
Cd: 0.7500 0.2500 0.5000  8 Ir 2.84-2.99, 2 C 2.88

Calculated values
The value obtained for the density of states at the Fermi level is 2.04 states/eV per cell. The calculation puts the calculated total energy at -26.37 eV/f.u. As for the polymorph energy (0 for the lowest one): 0.00 eV/f.u. Its space group is I-42d. Its formation energy is 1.49 eV/f.u.

=====

7.
Material: CdIrC3
Method: DFT, PBE-GGA
State: optimized geometry

Unit cell a=4.0567 b=4.0567 c=4.0567 alpha=90.00 beta=90.00 gamma=90.00
With the nearest neighbours (Å) after each atom.
Atoms (fractional coordinates):
C: 0.0000 0.0000 0.5000  2 Ir 2.03
Cd: 0.5000 0.5000 0.5000  12 C 2.87
C: 0.5000 0.0000 0.0000  2 Ir 2.03
C: 0.0000 0.5000 0.0000  2 Ir 2.03
Ir: 0.0000 0.0000 0.0000  6 C 2.03

Calculated values
The value obtained for the density of states at the Fermi level is 4.71 states/eV per cell. The calculation puts the calculated total energy at -27.04 eV/f.u. As for the polymorph energy (0 for the lowest one): 0.00 eV/f.u. Its space group is Pm-3m. Its formation energy is 10.41 eV/f.u.

=====

8.
Material: Cd2IrC
Method: DFT, PBE-GGA
State: optimized geometry

Unit cell a=8.8521 b=8.8521 c=6.5543 alpha=47.52 beta=47.52 gamma=90.00
With the nearest neighbours (Å) after each atom.
Atoms (fractional coordinates):
Cd: 0.2648 0.6250 0.2500  2 C 2.47
C: 0.5000 0.5000 0.0000  2 Ir 1.94
Cd: 0.4852 0.1250 0.2500  2 C 2.47
Cd: 0.8750 0.7352 0.7500  2 C 2.47
Ir: 0.7500 0.2500 0.5000  2 C 1.94
Cd: 0.3750 0.5148 0.7500  2 C 2.47
C: 0.2500 0.7500 0.5000  2 Ir 1.94
Ir: 0.0000 0.0000 0.0000  2 C 1.94

Calculated values
The value obtained for the density of states at the Fermi level is 1.53 states/eV per cell. The calculation puts the calculated total energy at -17.40 eV/f.u. Its space group is I-42d. Its formation energy is 2.52 eV/f.u.

=====

9.
Material: Cd3IrC
Method: DFT, PBE-GGA
State: optimized geometry

Unit cell a=4.4606 b=4.4606 c=4.4606 alpha=90.00 beta=90.00 gamma=90.00
With the nearest neighbours (Å) after each atom.
Atoms (fractional coordinates):
Cd: 0.0000 0.5000 0.0000  2 C 2.23
Ir: 0.5000 0.5000 0.5000  12 Cd 3.15
C: 0.0000 0.0000 0.0000  6 Cd 2.23
Cd: 0.5000 0.0000 0.0000  2 C 2.23
Cd: 0.0000 0.0000 0.5000  2 C 2.23

Calculated values
The value obtained for the density of states at the Fermi level is 4.80 states/eV per cell. The calculation puts the calculated total energy at -15.45 eV/f.u. As for the polymorph energy (0 for the lowest one): 0.00 eV/f.u. Its space group is Pm-3m. Its formation energy is 5.38 eV/f.u.

=====

10.
Material: Cd3IrC
Method: DFT, PBE-GGA
State: optimized geometry

Unit cell a=5.1996 b=5.1996 c=5.1996 alpha=90.00 beta=90.00 gamma=90.00
With the nearest neighbours (Å) after each atom.
Atoms (fractional coordinates):
Cd: 0.5000 0.0000 0.0000  2 Ir 2.60
C: 0.5000 0.5000 0.5000  12 Cd 3.68
Ir: 0.0000 0.0000 0.0000  6 Cd 2.60
Cd: 0.0000 0.5000 0.0000  2 Ir 2.60
Cd: 0.0000 0.0000 0.5000  2 Ir 2.60

Calculated values
The value obtained for the density of states at the Fermi level is 3.47 states/eV per cell. The calculation puts the calculated total energy at -12.54 eV/f.u. As for the polymorph energy (0 for the lowest one): 2.91 eV/f.u. Its space group is Pm-3m. Its formation energy is 8.29 eV/f.u.

=====

11.
Material: CdIr2C
Method: DFT, PBE-GGA
State: optimized geometry

Unit cell a=4.3247 b=4.3247 c=4.3247 alpha=60.00 beta=60.00 gamma=60.00
With the nearest neighbours (Å) after each atom.
Atoms (fractional coordinates):
Ir: 0.2500 0.2500 0.2500  4 Cd 2.65, 4 C 2.65
C: 0.0000 0.0000 0.0000  8 Ir 2.65
Cd: 0.5000 0.5000 0.5000  8 Ir 2.65
Ir: 0.7500 0.7500 0.7500  4 Cd 2.65, 4 C 2.65

Calculated values
The value obtained for the density of states at the Fermi level is 1.50 states/eV per cell. The calculation puts the calculated total energy at -21.45 eV/f.u. As for the polymorph energy (0 for the lowest one): 4.92 eV/f.u. Its space group is Fm-3m. Its formation energy is 6.41 eV/f.u.

=====

12.
Material: LiCdIr2C
Method: DFT, PBE-GGA
State: optimized geometry

Unit cell a=4.0303 b=4.0303 c=4.2950 alpha=90.00 beta=90.00 gamma=90.00
With the nearest neighbours (Å) after each atom.
Atoms (fractional coordinates):
Ir: 0.5000 0.0000 0.0000  2 C 2.02
C: 0.0000 0.0000 0.0000  4 Ir 2.02, 2 Li 2.15
Cd: 0.5000 0.5000 0.5000  4 Li 2.85, 8 Ir 2.94
Li: 0.0000 0.0000 0.5000  2 C 2.15
Ir: 0.0000 0.5000 0.0000  2 C 2.02

Calculated values
The value obtained for the density of states at the Fermi level is 1.30 states/eV per cell. The calculation puts the calculated total energy at -30.00 eV/f.u. Its space group is P4/mmm. Its formation energy is -0.22 eV/f.u.

=====

13.
Material: CdIrCO2
Method: DFT, PBE-GGA
State: optimized geometry

Unit cell a=3.7793 b=4.3387 c=3.7793 alpha=90.00 beta=90.00 gamma=90.00
With the nearest neighbours (Å) after each atom.
Atoms (fractional coordinates):
Ir: 0.5000 0.5000 0.5000  4 Cd 2.67, 8 O 2.88
Cd: 0.0000 0.5000 0.0000  2 C 2.17
C: 0.0000 0.0000 0.0000  4 O 1.89
O: 0.0000 0.0000 0.5000  2 C 1.89
O: 0.5000 0.0000 0.0000  2 C 1.89

Calculated values
The value obtained for the density of states at the Fermi level is 5.44 states/eV per cell. The calculation puts the calculated total energy at -20.14 eV/f.u. As for the uncorrected formation energy: 1.755 eV per atom. Its space group is P4/mmm.